This record from Alexandria via LeMat-Bulk describes a relaxed NaCd2Sn2 crystal. The functional is PBE-GGA.

Geometry as POSCAR:
```
NaCd2Sn2
1.0
8.574 0.000 0.000
0.000 8.574 0.000
0.000 0.000 3.627
Na Cd Sn
2 4 4
direct
0.000 0.000 0.000
0.500 0.500 0.000
0.129 0.371 0.000
0.371 0.871 0.000
0.629 0.129 0.000
0.871 0.629 0.000
0.170 0.670 0.500
0.330 0.170 0.500
0.670 0.830 0.500
0.830 0.330 0.500
```

Output
As for the symmetry: P4/mbm.


This record from Alexandria via LeMat-Bulk describes a relaxed Na2Cd5Sn3 crystal. The functional is PBE-GGA.

Geometry as POSCAR:
```
Na2Cd5Sn3
1.0
5.822 -6.779 0.000
5.822 6.779 0.000
-1.495 0.000 6.571
Na Cd Sn
4 10 6
direct
0.106 0.665 0.912
0.335 0.894 0.588
0.665 0.106 0.412
0.894 0.335 0.088
0.021 0.305 0.572
0.229 0.323 0.958
0.305 0.021 0.072
0.323 0.229 0.458
0.436 0.564 0.750
0.564 0.436 0.250
0.677 0.771 0.542
0.695 0.979 0.928
0.771 0.677 0.042
0.979 0.695 0.428
0.003 0.997 0.750
0.235 0.534 0.350
0.466 0.765 0.150
0.534 0.235 0.850
0.765 0.466 0.650
0.997 0.003 0.250
```

Output
As for the symmetry: C2/c.


This record from Alexandria via LeMat-Bulk describes a relaxed Na4Cd5Sn2 crystal. The functional is PBE-GGA.

Geometry as POSCAR:
```
Na4Cd5Sn2
1.0
8.021 0.000 0.000
0.000 3.310 0.000
-0.865 0.000 10.692
Na Cd Sn
4 5 2
direct
0.157 0.000 0.401
0.297 0.000 0.947
0.703 0.000 0.053
0.843 0.000 0.599
0.215 0.500 0.671
0.430 0.500 0.217
0.500 0.500 0.500
0.570 0.500 0.783
0.785 0.500 0.329
0.054 0.500 0.144
0.946 0.500 0.856
```

Output
As for the symmetry: P2/m.


Number 1: formation enthalpy at 0 K -27.1 meV per atom, raw total energy -2.2581 eV per atom. Number 2: formation enthalpy at 0 K -67.0 meV per atom, raw total energy -1.9892 eV per atom. Number 3: formation enthalpy at 0 K -103.1 meV per atom, raw total energy -1.7265 eV per atom.